Compound: LiCe4U3N8
Source: Alexandria via LeMat-Bulk
Functional: PBE
Structure: relaxed

Unit cell a=6.912 b=6.992 c=6.912 alpha=119.62 beta=120.00 gamma=90.00
Last column: magnetic moment on the atom in μB.
Fractional coordinates of all 16 atoms:
N (0.281, 0.279, 0.030)  -0.03
N (0.719, 0.721, 0.970)  -0.03
N (0.749, 0.279, 0.030)  -0.03
N (0.749, 0.279, 0.498)  -0.03
N (0.260, 0.279, 0.519)  -0.04
N (0.251, 0.721, 0.970)  -0.03
N (0.740, 0.721, 0.481)  -0.04
N (0.251, 0.721, 0.502)  -0.03
U (0.500, 0.500, 0.500)  0.65
U (0.000, 0.500, 0.500)  0.65
U (0.500, 0.500, 0.000)  0.65
Ce (0.000, 0.000, 0.500)  0.35
Ce (0.500, 0.000, 0.000)  0.05
Ce (0.000, 0.000, 0.000)  0.35
Ce (0.500, 0.000, 0.500)  0.35
Li (0.000, 0.500, 0.000)  0.00

## Properties
**Size of the total moment**: 3.2 Bohr magnetons per cell
**Space group**: R-3m (166)
**Formation energy without anion corrections**: -1.315 eV per atom

---

Compound: CaBe2Ir
Source: Alexandria via LeMat-Bulk
Functional: PBE
Structure: relaxed

Unit cell a=4.731 b=4.731 c=4.731 alpha=130.41 beta=130.41 gamma=72.75
Fractional coordinates of all 4 atoms:
Ca (0.500, 0.500, 0.000)
Ir (0.750, 0.250, 0.500)
Be (0.250, 0.750, 0.500)
Be (0.000, 0.000, 0.000)

## Properties
**Size of the total moment**: 0.0 Bohr magnetons per cell
**Space group**: I-4m2 (119)
**Polymorph energy (0 for the lowest one)**: 701 meV/atom

---

Compound: B2CF
Source: Alexandria via LeMat-Bulk
Functional: PBE
Structure: relaxed

Unit cell a=4.003 b=4.003 c=5.000 alpha=66.41 beta=66.41 gamma=90.00
Fractional coordinates of all 8 atoms:
B (0.375, 0.499, 0.750)
B (0.249, 0.625, 0.250)
B (0.501, 0.125, 0.250)
B (0.875, 0.751, 0.750)
F (0.000, 0.000, 0.000)
F (0.750, 0.250, 0.500)
C (0.500, 0.500, 0.000)
C (0.250, 0.750, 0.500)

## Properties
**Size of the total moment**: 0.0 Bohr magnetons per cell
**Space group**: I-42d (122)
**Formation energy without anion corrections**: -0.035 eV per atom
**Polymorph energy (0 for the lowest one)**: 0 meV/atom

---

Compound: Y2Cd2S
Source: Alexandria via LeMat-Bulk
Functional: PBE
Structure: relaxed

Unit cell a=7.275 b=7.275 c=5.102 alpha=90.00 beta=90.00 gamma=90.00
Fractional coordinates of all 10 atoms:
Y (0.329, 0.829, 0.000)
Y (0.171, 0.329, 0.000)
Y (0.671, 0.171, 0.000)
Y (0.829, 0.671, 0.000)
Cd (0.138, 0.638, 0.500)
Cd (0.362, 0.138, 0.500)
Cd (0.862, 0.362, 0.500)
Cd (0.638, 0.862, 0.500)
S (0.000, 0.000, 0.000)
S (0.500, 0.500, 0.000)

## Properties
**Size of the total moment**: 0.0 Bohr magnetons per cell
**Space group**: P4/mbm (127)
**Formation energy without anion corrections**: -0.731 eV per atom

---

Question: Which formula does entry 4 have?
Answer: Y2Cd2S

---

Question: size of the total moment of number 2 (CaBe2Ir)?
Answer: 0.0 Bohr magnetons per cell

---

Question: Which value of size of the total moment does entry 1 give?
Answer: 3.2 Bohr magnetons per cell